# PBE-GGA RbLa3Mg, relaxed
data_RbLa3Mg
_chemical_formula_sum 'Rb1 La3 Mg1'
_space_group_name_H-M_alt 'P m -3 m'
_space_group_IT_number 221
_space_group_name_Hall '-P 4 2 3'
_cell_length_a 6.172
_cell_length_b 6.172
_cell_length_c 6.172
_cell_angle_alpha 90.00
_cell_angle_beta 90.00
_cell_angle_gamma 90.00
loop_
_atom_site_label
_atom_site_fract_x
_atom_site_fract_y
_atom_site_fract_z
Rb1 0.000 0.000 0.000
La1 0.000 0.500 0.500
Mg1 0.500 0.500 0.500
# final energy: -2.91 eV/atom
# E above lowest polymorph: 0 meV per atom
# energy relative to the elements: 0.56 eV per atom
# Fermi-level density of states: 5.867 states/eV per cell

***

# PBE-GGA PuS6I2, relaxed
data_PuS6I2
_chemical_formula_sum 'Pu1 S6 I2'
_space_group_name_H-M_alt 'P -1'
_space_group_IT_number 2
_cell_length_a 4.542
_cell_length_b 8.637
_cell_length_c 8.683
_cell_angle_alpha 115.00
_cell_angle_beta 91.96
_cell_angle_gamma 91.78
loop_
_space_group_symop_operation_xyz
'x,y,z'
'-x,-y,-z'
loop_
_atom_site_label
_atom_site_fract_x
_atom_site_fract_y
_atom_site_fract_z
Pu1 0.000 0.000 0.000
S1 0.074 0.722 0.495
S2 0.075 0.494 0.720
S3 0.147 0.308 0.308
I1 0.499 0.149 0.854
# final energy: -4.99 eV/atom
# Fermi-level density of states: 13.061 states/eV per cell

***

# PBE-GGA Er3Sc4Se8, relaxed
data_Er3Sc4Se8
_chemical_formula_sum 'Er6 Sc8 Se16'
_space_group_name_H-M_alt 'C 1 2/m 1'
_space_group_IT_number 12
_cell_length_a 11.143
_cell_length_b 11.150
_cell_length_c 7.858
_cell_angle_alpha 90.00
_cell_angle_beta 134.80
_cell_angle_gamma 90.00
loop_
_space_group_symop_operation_xyz
'x,y,z'
'-x,-y,-z'
'-x,y,-z'
'x,-y,z'
'x+1/2,y+1/2,z'
'-x+1/2,-y+1/2,-z'
'-x+1/2,y+1/2,-z'
'x+1/2,-y+1/2,z'
loop_
_atom_site_label
_atom_site_fract_x
_atom_site_fract_y
_atom_site_fract_z
Er1 0.000 0.000 0.000
Er2 0.250 0.250 0.500
Sc1 0.000 0.500 0.000
Sc2 0.000 0.500 0.500
Sc3 0.250 0.250 0.000
Se1 0.000 0.250 0.500
Se2 0.000 0.254 0.000
Se3 0.246 0.500 0.493
Se4 0.246 0.500 0.999
# final energy: -6.18 eV/atom
# Fermi-level density of states: 14.370 states/eV per cell

***

# PBE-GGA TbHoEr2, relaxed
data_TbHoEr2
_chemical_formula_sum 'Tb2 Ho2 Er4'
_space_group_name_H-M_alt 'P 1 21/m 1'
_space_group_IT_number 11
_cell_length_a 6.209
_cell_length_b 5.596
_cell_length_c 7.180
_cell_angle_alpha 90.00
_cell_angle_beta 90.01
_cell_angle_gamma 90.00
loop_
_space_group_symop_operation_xyz
'x,y,z'
'-x,-y,-z'
'-x,y+1/2,-z'
'x,-y+1/2,z'
loop_
_atom_site_label
_atom_site_fract_x
_atom_site_fract_y
_atom_site_fract_z
Tb1 0.083 0.250 0.125
Ho1 0.417 0.750 0.625
Er1 0.082 0.250 0.624
Er2 0.417 0.750 0.125
# final energy: -4.58 eV/atom
# E above lowest polymorph: 2 meV per atom
# energy relative to the elements: 0.01 eV per atom
# Fermi-level density of states: 16.317 states/eV per cell

***

# PBE-GGA Tl3Cu2F9, relaxed
data_Tl3Cu2F9
_chemical_formula_sum 'Tl3 Cu2 F9'
_space_group_name_H-M_alt 'P -3 m 1'
_space_group_IT_number 164
_space_group_name_Hall '-P 3 2"'
_cell_length_a 5.8089
_cell_length_b 5.8089
_cell_length_c 7.5595
_cell_angle_alpha 90.00
_cell_angle_beta 90.00
_cell_angle_gamma 120.00
loop_
_atom_site_label
_atom_site_fract_x
_atom_site_fract_y
_atom_site_fract_z
Tl1 0.0000 0.0000 0.0000
Tl2 0.3333 0.6667 0.3699
Cu1 0.3333 0.6667 0.8493
F1 0.0000 0.5000 0.0000
F2 0.1731 0.3461 0.7141
# final energy: -3.88 eV/atom
# Fermi-level density of states: 7.624 states/eV per cell

***

# PBE-GGA K3BiF, relaxed
data_K3BiF
_chemical_formula_sum 'K3 Bi1 F1'
_space_group_name_H-M_alt 'P m -3 m'
_space_group_IT_number 221
_space_group_name_Hall '-P 4 2 3'
_cell_length_a 5.463
_cell_length_b 5.463
_cell_length_c 5.463
_cell_angle_alpha 90.00
_cell_angle_beta 90.00
_cell_angle_gamma 90.00
loop_
_atom_site_label
_atom_site_fract_x
_atom_site_fract_y
_atom_site_fract_z
K1 0.000 0.000 0.500
Bi1 0.500 0.500 0.500
F1 0.000 0.000 0.000
# final energy: -3.06 eV/atom
# E above lowest polymorph: 0 meV per atom
# Fermi-level density of states: 2.495 states/eV per cell

***

# PBE-GGA BaNb3NO7, relaxed
data_BaNb3NO7
_chemical_formula_sum 'Ba4 Nb12 N4 O28'
_space_group_name_H-M_alt 'C 1 m 1'
_space_group_IT_number 8
_cell_length_a 21.173
_cell_length_b 3.887
_cell_length_c 9.159
_cell_angle_alpha 90.00
_cell_angle_beta 90.17
_cell_angle_gamma 90.00
loop_
_space_group_symop_operation_xyz
'x,y,z'
'x,-y,z'
'x+1/2,y+1/2,z'
'x+1/2,-y+1/2,z'
loop_
_atom_site_label
_atom_site_fract_x
_atom_site_fract_y
_atom_site_fract_z
Ba1 0.000 0.000 0.000
Ba2 0.030 0.000 0.484
Nb1 0.148 0.500 0.176
Nb2 0.154 0.500 0.784
Nb3 0.258 0.000 0.993
Nb4 0.283 0.500 0.470
Nb5 0.385 0.000 0.687
Nb6 0.389 0.000 0.300
N1 0.360 0.500 0.344
N2 0.457 0.000 0.184
O1 0.082 0.500 0.670
O2 0.086 0.500 0.314
O3 0.098 0.500 0.998
O4 0.168 0.000 0.838
O5 0.172 0.000 0.150
O6 0.218 0.500 0.646
O7 0.222 0.500 0.328
O8 0.229 0.500 0.990
O9 0.299 0.000 0.515
O10 0.311 0.000 0.835
O11 0.316 0.000 0.140
O12 0.364 0.500 0.659
O13 0.437 0.000 0.507
O14 0.449 0.000 0.819
# final energy: -8.67 eV/atom
# E above lowest polymorph: 14 meV per atom

***

# PBE-GGA Cu4OsAu, relaxed
data_Cu4OsAu
_chemical_formula_sum 'Cu16 Os4 Au4'
_space_group_name_H-M_alt 'F -4 3 m'
_space_group_IT_number 216
_space_group_name_Hall 'F -4 2 3'
_cell_length_a 6.818
_cell_length_b 6.818
_cell_length_c 6.818
_cell_angle_alpha 90.00
_cell_angle_beta 90.00
_cell_angle_gamma 90.00
loop_
_atom_site_label
_atom_site_fract_x
_atom_site_fract_y
_atom_site_fract_z
Cu1 0.124 0.124 0.376
Os1 0.250 0.250 0.750
Au1 0.000 0.000 0.000
# final energy: -4.78 eV/atom
# energy relative to the elements: 0.37 eV per atom
# Fermi-level density of states: 25.447 states/eV per cell

***

# PBE-GGA Pm3Te3N, relaxed
data_Pm3Te3N
_chemical_formula_sum 'Pm12 Te12 N4'
_space_group_name_H-M_alt 'C 1 2/m 1'
_space_group_IT_number 12
_cell_length_a 8.631
_cell_length_b 12.917
_cell_length_c 7.739
_cell_angle_alpha 90.00
_cell_angle_beta 103.65
_cell_angle_gamma 90.00
loop_
_space_group_symop_operation_xyz
'x,y,z'
'-x,-y,-z'
'-x,y,-z'
'x,-y,z'
'x+1/2,y+1/2,z'
'-x+1/2,-y+1/2,-z'
'-x+1/2,y+1/2,-z'
'x+1/2,-y+1/2,z'
loop_
_atom_site_label
_atom_site_fract_x
_atom_site_fract_y
_atom_site_fract_z
Pm1 0.098 0.000 0.335
Pm2 0.204 0.358 0.219
Te1 0.000 0.164 0.000
Te2 0.000 0.260 0.500
Te3 0.115 0.500 0.851
N1 0.168 0.000 0.644
# final energy: -6.05 eV/atom
# E above lowest polymorph: 0 meV per atom

***

# PBE-GGA Ba2MgTlNi, relaxed
data_Ba2MgTlNi
_chemical_formula_sum 'Ba2 Mg1 Tl1 Ni1'
_space_group_name_H-M_alt 'P 4/m m m'
_space_group_IT_number 123
_space_group_name_Hall '-P 4 2'
_cell_length_a 5.979
_cell_length_b 5.979
_cell_length_c 5.003
_cell_angle_alpha 90.00
_cell_angle_beta 90.00
_cell_angle_gamma 90.00
loop_
_atom_site_label
_atom_site_fract_x
_atom_site_fract_y
_atom_site_fract_z
Ba1 0.000 0.500 0.000
Mg1 0.000 0.000 0.500
Tl1 0.500 0.500 0.500
Ni1 0.000 0.000 0.000
# final energy: -2.79 eV/atom
# E above lowest polymorph: 0 meV per atom
# energy relative to the elements: -0.07 eV per atom
# Fermi-level density of states: 4.798 states/eV per cell

***

# PBE-GGA SrCoTe2, relaxed
data_SrCoTe2
_chemical_formula_sum 'Sr4 Co4 Te8'
_space_group_name_H-M_alt 'F -4 3 m'
_space_group_IT_number 216
_space_group_name_Hall 'F -4 2 3'
_cell_length_a 7.593
_cell_length_b 7.593
_cell_length_c 7.593
_cell_angle_alpha 90.00
_cell_angle_beta 90.00
_cell_angle_gamma 90.00
loop_
_atom_site_label
_atom_site_fract_x
_atom_site_fract_y
_atom_site_fract_z
Sr1 0.000 0.000 0.000
Co1 0.250 0.250 0.750
Te1 0.000 0.000 0.500
Te2 0.250 0.250 0.250
# final energy: -3.62 eV/atom
# Fermi-level density of states: 20.154 states/eV per cell

***

# PBE-GGA BaZrPd2Rh, relaxed
data_BaZrPd2Rh
_chemical_formula_sum 'Ba1 Zr1 Pd2 Rh1'
_space_group_name_H-M_alt 'P 4/m m m'
_space_group_IT_number 123
_space_group_name_Hall '-P 4 2'
_cell_length_a 5.031
_cell_length_b 5.031
_cell_length_c 5.624
_cell_angle_alpha 90.00
_cell_angle_beta 90.00
_cell_angle_gamma 90.00
loop_
_atom_site_label
_atom_site_fract_x
_atom_site_fract_y
_atom_site_fract_z
Ba1 0.000 0.000 0.000
Zr1 0.000 0.000 0.500
Pd1 0.000 0.500 0.000
Rh1 0.500 0.500 0.500
# final energy: -3.83 eV/atom
# energy relative to the elements: 1.82 eV per atom
# Fermi-level density of states: 6.131 states/eV per cell